Model w:
This record from Alexandria describes a geometry-optimized ReSb2SeI structure. The functional is PBE.

Computed properties:
Spin magnetization ... 0.000 μB/atom
Space-group type ... No. 123

Lattice parameters (Å, degrees): 5.168 5.168 5.380 90.00 90.00 90.00
Atoms (fractional coordinates):
Re 0.000 0.000 0.000
Sb 0.000 0.500 0.000
Sb 0.500 0.000 0.000
Se 0.500 0.500 0.500
I 0.000 0.000 0.500

Model x:
This record from Alexandria describes a geometry-optimized ReSb2SeI structure. The functional is PBE.

Computed properties:
Spin magnetization ... 0.660 μB/atom
Space-group type ... No. 123

Lattice parameters (Å, degrees): 5.408 5.408 5.623 90.00 90.00 90.00
Atoms (fractional coordinates):
Re 0.000 0.000 0.000
Sb 0.000 0.500 0.500
Sb 0.500 0.000 0.500
Se 0.500 0.500 0.500
I 0.500 0.500 0.000

Bottom line: model w, by a margin of 0.937 eV/atom.

Model w:
This record from Alexandria describes a geometry-optimized ReSiSb2I structure. The functional is PBE.

Computed properties:
Spin magnetization ... 0.000 μB/atom
Space-group type ... No. 123

Lattice parameters (Å, degrees): 5.066 5.066 5.827 90.00 90.00 90.00
Atoms (fractional coordinates):
Re 0.000 0.000 0.000
Si 0.500 0.500 0.500
Sb 0.000 0.500 0.000
Sb 0.500 0.000 0.000
I 0.000 0.000 0.500

Model x:
This record from Alexandria describes a geometry-optimized ReSiSb2I structure. The functional is PBE.

Computed properties:
Spin magnetization ... 0.683 μB/atom
Space-group type ... No. 123

Lattice parameters (Å, degrees): 5.220 5.220 5.243 90.00 90.00 90.00
Atoms (fractional coordinates):
Re 0.000 0.000 0.000
Si 0.500 0.500 0.500
Sb 0.000 0.500 0.500
Sb 0.500 0.000 0.500
I 0.500 0.500 0.000

Bottom line: model w, by a margin of 0.512 eV/atom.

Model w:
This record from Alexandria describes a geometry-optimized ReSbTeI2 structure. The functional is PBE.

Computed properties:
Spin magnetization ... 0.109 μB/atom
Space-group type ... No. 123

Lattice parameters (Å, degrees): 5.330 5.330 5.339 90.00 90.00 90.00
Atoms (fractional coordinates):
Re 0.000 0.000 0.000
Sb 0.000 0.000 0.500
Te 0.500 0.500 0.500
I 0.000 0.500 0.000
I 0.500 0.000 0.000

Model x:
This record from Alexandria describes a geometry-optimized ReSbTeI2 structure. The functional is PBE.

Computed properties:
Spin magnetization ... 0.967 μB/atom
Space-group type ... No. 123

Lattice parameters (Å, degrees): 5.944 5.944 6.001 90.00 90.00 90.00
Atoms (fractional coordinates):
Re 0.000 0.000 0.000
Sb 0.500 0.500 0.000
Te 0.500 0.500 0.500
I 0.000 0.500 0.500
I 0.500 0.000 0.500

Model y:
This record from Alexandria describes a geometry-optimized ReSbTeI2 structure. The functional is PBE.

Computed properties:
Spin magnetization ... 0.000 μB/atom
Space-group type ... No. 123

Lattice parameters (Å, degrees): 5.430 5.430 5.178 90.00 90.00 90.00
Atoms (fractional coordinates):
Re 0.000 0.000 0.000
Sb 0.500 0.500 0.500
Te 0.000 0.000 0.500
I 0.000 0.500 0.000
I 0.500 0.000 0.000

Bottom line: model w, by a margin of 0.045 eV/atom.